Compound: Zr3TlTe
Source: the Alexandria database
Functional: PBE
Structure: relaxed

## Properties
E_form (uncorrected): 0.5323 eV/atom
Spin magnetization: 0.00 μB/atom
Final energy: -5.6981 eV/atom
Crystal system: cubic
Polymorph energy (0 for the lowest one): 0.621 eV/atom

a = 5.2878 Å, b = 5.2878 Å, c = 5.2878 Å
α = 90.00°, β = 90.00°, γ = 90.00°
With the nearest neighbours (Å) after each atom.
Space group Pm-3m (No. 221)
Asymmetric unit:
Zr: 0.0000 0.0000 0.5000 (multiplicity 3)  2 Te 2.64
Tl: 0.5000 0.5000 0.5000 (multiplicity 1)  12 Zr 3.74
Te: 0.0000 0.0000 0.0000 (multiplicity 1)  6 Zr 2.64

***

Compound: ZrTlTe2
Source: the Alexandria database
Functional: PBE
Structure: relaxed

## Properties
E_form (uncorrected): -0.4197 eV/atom
Spin magnetization: 0.00 μB/atom
Final energy: -4.7192 eV/atom
Crystal system: tetragonal

a = 6.2192 Å, b = 6.2192 Å, c = 12.5699 Å
α = 90.00°, β = 90.00°, γ = 90.00°
With the nearest neighbours (Å) after each atom.
Space group I4_1/amd (No. 141, origin choice 2)
Asymmetric unit:
Zr: 0.0000 0.2500 0.3750 (multiplicity 4)  6 Te 2.95-3.12
Tl: 0.0000 0.2500 0.8750 (multiplicity 4)  6 Te 3.12-3.33
Te: 0.0000 0.2500 0.1402 (multiplicity 8)  3 Zr 2.95-3.12, 2 Tl 3.12

***

Compound: ZrTl5Te5
Source: the Alexandria database
Functional: PBE
Structure: relaxed

## Properties
E_form (uncorrected): -0.3646 eV/atom
Spin magnetization: 0.00 μB/atom
Final energy: -3.6453 eV/atom
Crystal system: monoclinic

a = 14.8597 Å, b = 6.4355 Å, c = 9.2665 Å
α = 90.00°, β = 112.51°, γ = 90.00°
With the nearest neighbours (Å) after each atom.
Space group C2/m (No. 12)
Asymmetric unit:
Zr: 0.0000 0.0000 0.0000 (multiplicity 2)  4 Te 2.87-2.89
Tl: 0.0000 0.0000 0.5000 (multiplicity 2)  4 Te 3.31-3.41
Tl: 0.1467 0.5000 0.7987 (multiplicity 4)  5 Te 3.28-3.56
Tl: 0.1976 0.5000 0.3067 (multiplicity 4)  5 Te 3.21-3.41
Te: 0.0000 0.5000 0.0000 (multiplicity 2)  4 Tl 3.21-3.37, 2 Zr 3.22
Te: 0.1481 0.0000 0.3096 (multiplicity 4)  1 Zr 2.87
Te: 0.1544 0.0000 0.8833 (multiplicity 4)  1 Zr 2.89

***

Compound: ZrTlTe2
Source: the Alexandria database
Functional: PBE
Structure: relaxed

## Properties
E_form (uncorrected): -0.2172 eV/atom
Spin magnetization: 0.00 μB/atom
Final energy: -4.5167 eV/atom
Crystal system: tetragonal

a = 3.8881 Å, b = 3.8881 Å, c = 7.7667 Å
α = 90.00°, β = 90.00°, γ = 90.00°
With the nearest neighbours (Å) after each atom.
Space group P4mm (No. 99)
Asymmetric unit:
Zr: 0.0000 0.0000 0.0000 (multiplicity 1)  5 Te 3.10-3.11, 4 Tl 3.30
Tl: 0.5000 0.5000 0.7642 (multiplicity 1)  5 Te 3.03-3.28, 4 Zr 3.30
Te: 0.0000 0.0000 0.6011 (multiplicity 1)  4 Tl 3.03, 1 Zr 3.10
Te: 0.5000 0.5000 0.1867 (multiplicity 1)  4 Zr 3.11, 1 Tl 3.28